Entry 1:
ScCo2P | PBE | relaxed

a b c (Å): 4.995 4.995 4.995
angles (deg): 44.64 44.64 44.64
Atoms (fractional coordinates):
Sc 0.000 0.000 0.000
Co 0.200 0.200 0.200
Co 0.448 0.448 0.448
P 0.804 0.804 0.804

Output
Its formation energy is -0.583 eV per atom. The symmetry is R3m. For the spin magnetization, the calculation gives 0.3 μB per formula unit.


Entry 2:
ScCo6P4 | PBE | relaxed

a b c (Å): 6.498 6.498 3.450
angles (deg): 90.00 90.00 120.00
Atoms (fractional coordinates):
Sc 0.000 0.000 0.000
Co 0.200 0.400 0.500
Co 0.200 0.800 0.500
Co 0.534 0.068 0.000
Co 0.534 0.466 0.000
Co 0.600 0.800 0.500
Co 0.932 0.466 0.000
P 0.333 0.667 0.000
P 0.376 0.188 0.500
P 0.812 0.188 0.500
P 0.812 0.624 0.500

Output
Its formation energy is -0.795 eV per atom. The symmetry is P-6m2. For the spin magnetization, the calculation gives 0.0 μB per formula unit.


Entry 3:
ScCo4P | PBE | relaxed

a b c (Å): 4.782 4.782 4.782
angles (deg): 60.00 60.00 60.00
Atoms (fractional coordinates):
Sc 0.000 0.000 0.000
Co 0.126 0.625 0.625
Co 0.625 0.126 0.625
Co 0.625 0.625 0.126
Co 0.625 0.625 0.625
P 0.250 0.250 0.250

Output
Its formation energy is -0.091 eV per atom. The symmetry is F-43m. For the spin magnetization, the calculation gives 6.1 μB per formula unit.


Entry 4:
Sc2CoP | PBE | relaxed

a b c (Å): 3.300 3.300 5.911
angles (deg): 90.00 90.00 90.00
Atoms (fractional coordinates):
Sc 0.000 0.000 0.247
Sc 0.000 0.000 0.753
Co 0.500 0.500 0.500
P 0.500 0.500 0.000

Output
Its formation energy is -0.701 eV per atom. The symmetry is P4/mmm. For the spin magnetization, the calculation gives 0.0 μB per formula unit.


Entry 5:
Sc2CoP | PBE | relaxed

a b c (Å): 8.022 8.022 8.022
angles (deg): 25.01 25.01 25.01
Atoms (fractional coordinates):
Sc 0.100 0.100 0.100
Sc 0.900 0.900 0.900
Co 0.000 0.000 0.000
P 0.500 0.500 0.500

Output
Its formation energy is -0.136 eV per atom. The symmetry is R-3m. For the spin magnetization, the calculation gives 0.8 μB per formula unit.


Entry 6:
Sc2CoP | PBE | relaxed

a b c (Å): 3.684 3.684 5.315
angles (deg): 90.00 90.00 90.00
Atoms (fractional coordinates):
Sc 0.000 0.000 0.000
Sc 0.500 0.500 0.392
Co 0.000 0.000 0.465
P 0.500 0.500 0.893

Output
Its formation energy is -0.556 eV per atom. The symmetry is P4mm. For the spin magnetization, the calculation gives 0.0 μB per formula unit.


Repeat the third record exactly.
ScCo4P | PBE | relaxed

a b c (Å): 4.782 4.782 4.782
angles (deg): 60.00 60.00 60.00
Atoms (fractional coordinates):
Sc 0.000 0.000 0.000
Co 0.126 0.625 0.625
Co 0.625 0.126 0.625
Co 0.625 0.625 0.126
Co 0.625 0.625 0.625
P 0.250 0.250 0.250

Output
Its formation energy is -0.091 eV per atom. The symmetry is F-43m. For the spin magnetization, the calculation gives 6.1 μB per formula unit.


- Which formula does entry 3 have?
  ScCo4P